[1]
Entry from Alexandria via LeMat-Bulk: a relaxed La2AlAgTe5 crystal (GGA-PBE).

Properties
**E_tot**: -0.168 hartree per atom
**Space-group type**: No. 36
**ΔE_f (raw)**: -9.0 eV per formula unit

a = 4.3698 Å, b = 10.1381 Å, c = 12.8479 Å
α = 90.00°, β = 90.00°, γ = 102.45°
Atoms (fractional coordinates):
Te 0.2893 0.5785 0.6709
Te 0.9584 0.9169 0.5664
Te 0.7107 0.4215 0.1709
Te 0.3650 0.7300 0.9937
Te 0.6350 0.2700 0.4937
Te 0.0416 0.0831 0.0664
Te 0.6886 0.3772 0.8517
Te 0.3114 0.6228 0.3517
Te 0.4961 0.9923 0.2803
Te 0.5039 0.0077 0.7803
La 0.1268 0.2536 0.2989
La 0.1189 0.2378 0.6822
La 0.8811 0.7622 0.1822
La 0.8732 0.7464 0.7989
Ag 0.7759 0.5517 0.5242
Ag 0.2241 0.4483 0.0242
Al 0.5749 0.1497 0.9559
Al 0.4251 0.8503 0.4559

---

[2]
Entry from Alexandria via LeMat-Bulk: a relaxed Ba2MoOs crystal (GGA-PBE).

Properties
**DFT formation energy**: 144.9 kJ per mole of atoms
**E_tot**: -0.183 hartree per atom
**Space-group type**: No. 10
**Excess energy over the best structure of this formula in the dataset**: 111.2 kJ per mole of atoms
**N(E_F)**: 1.25 states/eV/atom

a = 5.3218 Å, b = 3.2999 Å, c = 6.4199 Å
α = 64.77°, β = 90.00°, γ = 90.00°
Atoms (fractional coordinates):
Ba 0.0000 0.5941 0.5048
Ba 0.0000 0.9059 0.9952
Os 0.5000 0.7500 0.7500
Mo 0.5000 0.2500 0.2500

---

[3]
Entry from Alexandria via LeMat-Bulk: a relaxed ScHgCl2 crystal (GGA-PBE).

Properties
**E_tot**: -0.125 hartree per atom
**Space-group type**: No. 166
**Excess energy over the best structure of this formula in the dataset**: 54.7 kJ per mole of atoms
**N(E_F)**: 0.63 states/eV/atom
**ΔE_f (raw)**: -3.3 eV per formula unit

a = 11.5048 Å, b = 11.5048 Å, c = 11.5048 Å
α = 19.02°, β = 19.02°, γ = 19.02°
Atoms (fractional coordinates):
Cl 0.9327 0.9327 0.9327
Cl 0.0673 0.0673 0.0673
Sc 0.0000 0.0000 0.0000
Hg 0.5000 0.5000 0.5000

---

[4]
Entry from Alexandria via LeMat-Bulk: a relaxed TbHo2Tm9 crystal (GGA-PBE).

Properties
**DFT formation energy**: 5.2 kJ per mole of atoms
**E_tot**: -0.163 hartree per atom
**Space-group type**: No. 191
**Excess energy over the best structure of this formula in the dataset**: 2.7 kJ per mole of atoms
**N(E_F)**: 1.55 states/eV/atom

a = 3.4570 Å, b = 11.0394 Å, c = 11.0394 Å
α = 120.00°, β = 90.00°, γ = 90.00°
Atoms (fractional coordinates):
Tm 0.5000 0.6455 0.8228
Tm 0.0000 0.5000 0.5000
Tm 0.5000 0.3545 0.1772
Tm 0.0000 0.5000 0.0000
Tm 0.5000 0.8228 0.1772
Tm 0.5000 0.8228 0.6455
Tm 0.5000 0.1772 0.8228
Tm 0.0000 0.0000 0.5000
Tm 0.5000 0.1772 0.3545
Ho 0.0000 0.6667 0.3333
Ho 0.0000 0.3333 0.6667
Tb 0.0000 0.0000 0.0000

---

[5]
Entry from Alexandria via LeMat-Bulk: a relaxed Cs2Li2Te crystal (GGA-PBE).

Properties
**E_tot**: -0.077 hartree per atom
**Space-group type**: No. 127
**N(E_F)**: 0.18 states/eV/atom
**ΔE_f (raw)**: -1.9 eV per formula unit

a = 8.0429 Å, b = 8.0429 Å, c = 5.9695 Å
α = 90.00°, β = 90.00°, γ = 90.00°
Atoms (fractional coordinates):
Li 0.3644 0.8644 0.0000
Li 0.6356 0.1356 0.0000
Li 0.1356 0.3644 0.0000
Li 0.8644 0.6356 0.0000
Cs 0.2073 0.7073 0.5000
Cs 0.2927 0.2073 0.5000
Cs 0.7073 0.7927 0.5000
Cs 0.7927 0.2927 0.5000
Te 0.5000 0.5000 0.0000
Te 0.0000 0.0000 0.0000

---

[6]
Entry from Alexandria via LeMat-Bulk: a relaxed CeTlZn2Cl8 crystal (GGA-PBE).

Properties
**E_tot**: -0.132 hartree per atom
**Space-group type**: No. 148
**N(E_F)**: 0.68 states/eV/atom
**ΔE_f (raw)**: -17.3 eV per formula unit

a = 6.5155 Å, b = 6.5155 Å, c = 10.4383 Å
α = 71.81°, β = 71.81°, γ = 60.00°
Site moments in Bohr magnetons follow the coordinates.
Atoms (fractional coordinates):
Zn 0.2470 0.2470 0.2589  0.00
Zn 0.7530 0.7530 0.7411  0.00
Cl 0.7119 0.0604 0.8298  0.00
Cl 0.8284 0.8284 0.5148  0.00
Cl 0.0604 0.3979 0.8298  0.00
Cl 0.2881 0.9396 0.1702  0.00
Cl 0.1716 0.1716 0.4852  0.00
Cl 0.6021 0.2881 0.1702  0.00
Cl 0.9396 0.6021 0.1702  0.00
Cl 0.3979 0.7119 0.8298  0.00
Ce 0.0000 0.0000 0.0000  0.98
Tl 0.5000 0.5000 0.5000  0.00

---

Repeat the first record exactly.
Entry from Alexandria via LeMat-Bulk: a relaxed La2AlAgTe5 crystal (GGA-PBE).

Properties
**E_tot**: -0.168 hartree per atom
**Space-group type**: No. 36
**ΔE_f (raw)**: -9.0 eV per formula unit

a = 4.3698 Å, b = 10.1381 Å, c = 12.8479 Å
α = 90.00°, β = 90.00°, γ = 102.45°
Atoms (fractional coordinates):
Te 0.2893 0.5785 0.6709
Te 0.9584 0.9169 0.5664
Te 0.7107 0.4215 0.1709
Te 0.3650 0.7300 0.9937
Te 0.6350 0.2700 0.4937
Te 0.0416 0.0831 0.0664
Te 0.6886 0.3772 0.8517
Te 0.3114 0.6228 0.3517
Te 0.4961 0.9923 0.2803
Te 0.5039 0.0077 0.7803
La 0.1268 0.2536 0.2989
La 0.1189 0.2378 0.6822
La 0.8811 0.7622 0.1822
La 0.8732 0.7464 0.7989
Ag 0.7759 0.5517 0.5242
Ag 0.2241 0.4483 0.0242
Al 0.5749 0.1497 0.9559
Al 0.4251 0.8503 0.4559

---

Repeat the second record exactly.
Entry from Alexandria via LeMat-Bulk: a relaxed Ba2MoOs crystal (GGA-PBE).

Properties
**DFT formation energy**: 144.9 kJ per mole of atoms
**E_tot**: -0.183 hartree per atom
**Space-group type**: No. 10
**Excess energy over the best structure of this formula in the dataset**: 111.2 kJ per mole of atoms
**N(E_F)**: 1.25 states/eV/atom

a = 5.3218 Å, b = 3.2999 Å, c = 6.4199 Å
α = 64.77°, β = 90.00°, γ = 90.00°
Atoms (fractional coordinates):
Ba 0.0000 0.5941 0.5048
Ba 0.0000 0.9059 0.9952
Os 0.5000 0.7500 0.7500
Mo 0.5000 0.2500 0.2500